PdSeI2O: relaxed, PBE.

Results
The value obtained for the uncorrected formation energy is 307 meV per atom. The crystal system is tetragonal. The space-group type is No. 123.

Unit cell a=5.765 b=5.765 c=3.762 alpha=90.00 beta=90.00 gamma=90.00
Sites, in units of the cell vectors:
Pd: 0.000 0.000 0.000
Se: 0.500 0.500 0.500
I: 0.000 0.500 0.500
I: 0.500 0.000 0.500
O: 0.500 0.500 0.000

=====

SnPdI2O: relaxed, PBE.

Results
The value obtained for the uncorrected formation energy is 3 meV per atom. As for the offset from the most stable computed form: 0.32 eV/f.u. The crystal system is tetragonal. The space-group type is No. 123.

Unit cell a=5.948 b=5.948 c=3.975 alpha=90.00 beta=90.00 gamma=90.00
Sites, in units of the cell vectors:
Sn: 0.000 0.000 0.000
Pd: 0.500 0.500 0.500
I: 0.000 0.500 0.000
I: 0.500 0.000 0.000
O: 0.000 0.000 0.500

=====

SnPdI2O: relaxed, PBE.

Results
The value obtained for the uncorrected formation energy is -62 meV per atom. As for the offset from the most stable computed form: 0.00 eV/f.u. The crystal system is tetragonal. The space-group type is No. 123.

Unit cell a=5.707 b=5.707 c=3.936 alpha=90.00 beta=90.00 gamma=90.00
Sites, in units of the cell vectors:
Sn: 0.000 0.000 0.000
Pd: 0.500 0.500 0.500
I: 0.000 0.500 0.500
I: 0.500 0.000 0.500
O: 0.500 0.500 0.000

=====

SrPdI2O: relaxed, PBE.

Results
The value obtained for the uncorrected formation energy is -739 meV per atom. As for the offset from the most stable computed form: 0.00 eV/f.u. The crystal system is tetragonal. The space-group type is No. 123.

Unit cell a=5.660 b=5.660 c=4.131 alpha=90.00 beta=90.00 gamma=90.00
Sites, in units of the cell vectors:
Sr: 0.000 0.000 0.000
Pd: 0.500 0.500 0.500
I: 0.000 0.500 0.500
I: 0.500 0.000 0.500
O: 0.500 0.500 0.000

=====

SrPdIO2: relaxed, PBE.

Results
The value obtained for the uncorrected formation energy is -214 meV per atom. As for the offset from the most stable computed form: 2.06 eV/f.u. The crystal system is tetragonal. The space-group type is No. 123.

Unit cell a=4.457 b=4.457 c=7.130 alpha=90.00 beta=90.00 gamma=90.00
Sites, in units of the cell vectors:
Sr: 0.000 0.000 0.000
Pd: 0.500 0.500 0.500
I: 0.000 0.000 0.500
O: 0.000 0.500 0.000
O: 0.500 0.000 0.000

=====

SrPdIO2: relaxed, PBE.

Results
The value obtained for the uncorrected formation energy is -109 meV per atom. As for the offset from the most stable computed form: 2.59 eV/f.u. The crystal system is tetragonal. The space-group type is No. 123.

Unit cell a=4.248 b=4.248 c=7.898 alpha=90.00 beta=90.00 gamma=90.00
Sites, in units of the cell vectors:
Sr: 0.000 0.000 0.000
Pd: 0.000 0.000 0.500
I: 0.500 0.500 0.500
O: 0.000 0.500 0.000
O: 0.500 0.000 0.000

=====

SrPdIO6: relaxed, PBE.

Results
The value obtained for the uncorrected formation energy is -994 meV per atom. The crystal system is monoclinic. The space-group type is No. 5.

Unit cell a=5.329 b=5.329 c=5.372 alpha=90.60 beta=90.60 gamma=118.48
Sites, in units of the cell vectors:
Sr: 0.000 0.000 0.000
Pd: 0.330 0.670 0.500
I: 0.664 0.336 0.500
O: 0.374 0.030 0.692
O: 0.377 0.371 0.297
O: 0.629 0.623 0.703
O: 0.645 0.050 0.281
O: 0.950 0.355 0.719
O: 0.970 0.626 0.308

=====

SrPdI2O: relaxed, PBE.

Results
The value obtained for the uncorrected formation energy is -200 meV per atom. As for the offset from the most stable computed form: 2.70 eV/f.u. The crystal system is tetragonal. The space-group type is No. 123.

Unit cell a=6.414 b=6.414 c=4.212 alpha=90.00 beta=90.00 gamma=90.00
Sites, in units of the cell vectors:
Sr: 0.000 0.000 0.000
Pd: 0.500 0.500 0.500
I: 0.000 0.500 0.000
I: 0.500 0.000 0.000
O: 0.000 0.000 0.500

=====

SrPdIO2: relaxed, PBE.

Results
The value obtained for the uncorrected formation energy is -627 meV per atom. As for the offset from the most stable computed form: 0.00 eV/f.u. The crystal system is tetragonal. The space-group type is No. 123.

Unit cell a=4.401 b=4.401 c=5.133 alpha=90.00 beta=90.00 gamma=90.00
Sites, in units of the cell vectors:
Sr: 0.000 0.000 0.000
Pd: 0.500 0.500 0.500
I: 0.500 0.500 0.000
O: 0.000 0.500 0.500
O: 0.500 0.000 0.500

=====

TaPdI2O: relaxed, PBE.

Results
The value obtained for the uncorrected formation energy is -369 meV per atom. As for the offset from the most stable computed form: 0.00 eV/f.u. The crystal system is tetragonal. The space-group type is No. 123.

Unit cell a=5.600 b=5.600 c=3.860 alpha=90.00 beta=90.00 gamma=90.00
Sites, in units of the cell vectors:
Ta: 0.000 0.000 0.000
Pd: 0.500 0.500 0.500
I: 0.000 0.500 0.000
I: 0.500 0.000 0.000
O: 0.000 0.000 0.500

=====

TaPdIO2: relaxed, PBE.

Results
The value obtained for the uncorrected formation energy is -1281 meV per atom. As for the offset from the most stable computed form: 0.00 eV/f.u. The crystal system is tetragonal. The space-group type is No. 123.

Unit cell a=3.908 b=3.908 c=6.168 alpha=90.00 beta=90.00 gamma=90.00
Sites, in units of the cell vectors:
Ta: 0.000 0.000 0.000
Pd: 0.500 0.500 0.500
I: 0.000 0.000 0.500
O: 0.000 0.500 0.000
O: 0.500 0.000 0.000

=====

TaPdIO2: relaxed, PBE.

Results
The value obtained for the uncorrected formation energy is 772 meV per atom. As for the offset from the most stable computed form: 10.26 eV/f.u. The crystal system is tetragonal. The space-group type is No. 123.

Unit cell a=4.104 b=4.104 c=5.174 alpha=90.00 beta=90.00 gamma=90.00
Sites, in units of the cell vectors:
Ta: 0.000 0.000 0.000
Pd: 0.500 0.500 0.500
I: 0.500 0.500 0.000
O: 0.000 0.500 0.500
O: 0.500 0.000 0.500

=====

Number 1: E_tot -3.040 eV per atom. Number 2: E_tot -3.448 eV per atom. Number 3: E_tot -3.513 eV per atom. Number 4: E_tot -3.726 eV per atom. Number 5: E_tot -3.882 eV per atom. Number 6: E_tot -3.777 eV per atom. Number 7: E_tot -5.235 eV per atom. Number 8: E_tot -3.187 eV per atom. Number 9: E_tot -4.295 eV per atom. Number 10: E_tot -5.390 eV per atom. Number 11: E_tot -6.984 eV per atom. Number 12: E_tot -4.931 eV per atom.